# 1
A plane-wave DFT calculation with PBE-GGA was carried out for crystalline InGeP3 at its relaxed geometry.

a = 4.7704 Å, b = 4.7704 Å, c = 4.7704 Å
α = 90.00°, β = 90.00°, γ = 90.00°
Atoms (fractional coordinates):
In 0.0000 0.0000 0.0000
Ge 0.5000 0.5000 0.5000
P 0.0000 0.5000 0.5000
P 0.5000 0.0000 0.5000
P 0.5000 0.5000 0.0000

Output
ΔE_f = 797 meV/atom
Excess energy over the best structure of this formula in the dataset = 0 meV per atom



# 2
A plane-wave DFT calculation with PBE-GGA was carried out for crystalline MgZn2Cd8 at its relaxed geometry.

a = 7.2933 Å, b = 7.2933 Å, c = 4.7211 Å
α = 95.03°, β = 95.03°, γ = 104.59°
Atoms (fractional coordinates):
Mg 0.0000 0.0000 0.0000
Zn 0.3814 0.6186 0.5000
Zn 0.6186 0.3814 0.5000
Cd 0.0377 0.3103 0.5347
Cd 0.2579 0.7421 0.0000
Cd 0.3103 0.0377 0.5347
Cd 0.3312 0.3312 0.0397
Cd 0.6688 0.6688 0.9603
Cd 0.6897 0.9623 0.4653
Cd 0.7421 0.2579 0.0000
Cd 0.9623 0.6897 0.4653

Output
ΔE_f = 37 meV/atom



# 3
A plane-wave DFT calculation with PBE-GGA was carried out for crystalline ErTlAg at its relaxed geometry.

a = 4.8789 Å, b = 3.5395 Å, c = 5.3362 Å
α = 90.00°, β = 104.85°, γ = 90.00°
Atoms (fractional coordinates):
Er 0.0000 0.0000 0.0000
Tl 0.0000 0.5000 0.5000
Ag 0.5000 0.5000 0.0000

Output
ΔE_f = 38 meV/atom



Number 1: total DFT energy (no corrections) -3.920 eV/atom. Number 2: total DFT energy (no corrections) -1.005 eV/atom. Number 3: total DFT energy (no corrections) -3.223 eV/atom.